This record from Alexandria describes Nd2PaGaN5 after structural relaxation. The functional is PBE.

Computed properties:
* calculated volume: 260 Å³ per cell
* E_form (uncorrected): -1032 meV/atom

a = 3.4674 Å, b = 7.3472 Å, c = 10.4906 Å
α = 90.00°, β = 90.00°, γ = 103.65°
Last column: nearest neighbours and their distance in Å.
Element x y z (fractional)
Ga1 0.4883 0.9765 0.4739  4 N 1.97-2.07
N1 0.5023 0.0047 0.2872  1 Ga 1.97
Nd1 0.8922 0.7843 0.1930  8 N 2.54-2.84
Nd2 0.1236 0.2471 0.2962  5 N 2.45-2.70
N2 0.0524 0.1047 0.0490  2 Ga 1.99
N3 0.4977 0.9953 0.7872  1 Ga 1.97
N4 0.3686 0.7372 0.0077  1 Ga 2.07, 1 Pa 2.24
Nd3 0.1078 0.2157 0.6930  8 N 2.54-2.84
Ga2 0.5117 0.0235 0.9739  4 N 1.97-2.07
N5 0.9476 0.8953 0.5490  2 Ga 1.99
N6 0.6314 0.2628 0.5077  1 Ga 2.07, 1 Pa 2.24
Pa1 0.7883 0.5767 0.5045  6 N 2.24-2.32
N7 0.7158 0.4316 0.1445  2 Pa 2.27
Nd4 0.8764 0.7529 0.7962  5 N 2.45-2.70
N8 0.6989 0.3978 0.8680  2 Pa 2.26
N9 0.2842 0.5684 0.6445  2 Pa 2.27
N10 0.3011 0.6022 0.3680  2 Pa 2.26
Pa2 0.2117 0.4233 0.0045  6 N 2.24-2.32



This record from Alexandria describes NdPa2GaN5 after structural relaxation. The functional is PBE.

Computed properties:
* calculated volume: 261 Å³ per cell
* E_form (uncorrected): -1117 meV/atom

a = 3.3368 Å, b = 8.5634 Å, c = 9.3087 Å
α = 90.00°, β = 90.00°, γ = 101.23°
Last column: nearest neighbours and their distance in Å.
Element x y z (fractional)
Pa1 0.1019 0.2039 0.2961  5 N 2.29-2.50
N1 0.3256 0.6512 0.6897  2 Pa 2.29
N2 0.6320 0.2640 0.5157  2 Pa 2.36, 1 Nd 2.46
N3 0.0313 0.0626 0.0591  2 Ga 1.91
N4 0.3680 0.7360 0.0157  2 Pa 2.36, 1 Nd 2.46
N5 0.5062 0.0124 0.2822  1 Ga 1.99
Pa2 0.8981 0.7961 0.7961  5 N 2.29-2.50
Ga1 0.5531 0.1062 0.9667  4 N 1.91-2.04
N6 0.3476 0.6952 0.3408  1 Ga 2.04
Ga2 0.4469 0.8938 0.4667  4 N 1.91-2.04
Nd1 0.2222 0.4444 0.9939  5 N 2.46-2.60
N7 0.6524 0.3048 0.8408  1 Ga 2.04
N8 0.4938 0.9876 0.7822  1 Ga 1.99
Nd2 0.7778 0.5556 0.4939  5 N 2.46-2.60
N9 0.6744 0.3488 0.1897  2 Pa 2.29
Pa3 0.9073 0.8146 0.1798  7 N 2.36-2.54
N10 0.9687 0.9374 0.5591  2 Ga 1.91
Pa4 0.0927 0.1854 0.6798  7 N 2.36-2.54



This record from Alexandria describes Pm2NdGaN after structural relaxation. The functional is PBE.

Computed properties:
* calculated volume: 121 Å³ per cell
* E_form (uncorrected): -836 meV/atom

a = 4.9744 Å, b = 4.9290 Å, c = 4.9290 Å
α = 90.00°, β = 90.00°, γ = 90.00°
Last column: nearest neighbours and their distance in Å.
Element x y z (fractional)
Pm1 0.0000 0.5000 0.0000  2 N 2.46
Ga1 0.5000 0.5000 0.5000  4 Nd 3.49, 8 Pm 3.50
Nd1 0.5000 0.0000 0.0000  2 N 2.49
N1 0.0000 0.0000 0.0000  4 Pm 2.46, 2 Nd 2.49
Pm2 0.0000 0.0000 0.5000  2 N 2.46



This record from Alexandria describes PrNd2GaN4 after structural relaxation. The functional is PBE.

Computed properties:
* calculated volume: 257 Å³ per cell
* E_form (uncorrected): -1007 meV/atom

a = 3.5362 Å, b = 6.2091 Å, c = 12.2116 Å
α = 90.00°, β = 90.00°, γ = 106.54°
Last column: nearest neighbours and their distance in Å.
Element x y z (fractional)
Nd1 0.6310 0.2619 0.4551  6 N 2.42-2.63
N1 0.5636 0.1272 0.2500  2 Ga 2.14
N2 0.0000 0.0000 0.5000  4 Nd 2.42
Pr1 0.1068 0.2137 0.7500  6 N 2.69-2.73
Ga1 0.8356 0.6711 0.7500  4 N 1.94-2.14
N3 0.4364 0.8728 0.7500  2 Ga 2.14
N4 0.0000 0.0000 0.0000  4 Nd 2.42
N5 0.7295 0.4590 0.8709  1 Ga 1.94
N6 0.2705 0.5410 0.1291  1 Ga 1.94
Ga2 0.1644 0.3289 0.2500  4 N 1.94-2.14
Nd2 0.6310 0.2619 0.0449  6 N 2.42-2.63
Nd3 0.3690 0.7381 0.9551  6 N 2.42-2.63
N7 0.7295 0.4590 0.6291  1 Ga 1.94
N8 0.2705 0.5410 0.3709  1 Ga 1.94
Nd4 0.3690 0.7381 0.5449  6 N 2.42-2.63
Pr2 0.8932 0.7863 0.2500  6 N 2.69-2.73



This record from Alexandria describes PrNdGaN3 after structural relaxation. The functional is PBE.

Computed properties:
* calculated volume: 205 Å³ per cell
* E_form (uncorrected): -857 meV/atom

a = 3.5547 Å, b = 7.5324 Å, c = 7.6840 Å
α = 96.22°, β = 90.00°, γ = 90.00°
Last column: nearest neighbours and their distance in Å.
Element x y z (fractional)
N1 0.7500 0.1601 0.5034  3 Ga 2.01-2.02
N2 0.7500 0.3910 0.1381  3 Nd 2.36-2.54, 2 Pr 2.49
Nd1 0.7500 0.3674 0.8293  5 N 2.36-2.59
Nd2 0.2500 0.6326 0.1707  5 N 2.36-2.59
N3 0.2500 0.1229 0.8573  1 Ga 1.93
Ga1 0.2500 0.0955 0.6046  4 N 1.93-2.02
N4 0.2500 0.8399 0.4966  3 Ga 2.01-2.02
Ga2 0.7500 0.9045 0.3954  4 N 1.93-2.02
N5 0.7500 0.8771 0.1427  1 Ga 1.93
Pr1 0.2500 0.1663 0.1736  3 N 2.42-2.49
Pr2 0.7500 0.8337 0.8264  3 N 2.42-2.49
N6 0.2500 0.6090 0.8619  3 Nd 2.36-2.54, 2 Pr 2.49



This record from Alexandria describes PrNd2GaN after structural relaxation. The functional is PBE.

Computed properties:
* calculated volume: 124 Å³ per cell
* E_form (uncorrected): -795 meV/atom

a = 5.0222 Å, b = 4.9772 Å, c = 4.9772 Å
α = 90.00°, β = 90.00°, γ = 90.00°
Last column: nearest neighbours and their distance in Å.
Element x y z (fractional)
Nd1 0.0000 0.0000 0.5000  2 N 2.49
N1 0.0000 0.0000 0.0000  4 Nd 2.49, 2 Pr 2.51
Nd2 0.0000 0.5000 0.0000  2 N 2.49
Ga1 0.5000 0.5000 0.5000  4 Pr 3.52, 8 Nd 3.54
Pr1 0.5000 0.0000 0.0000  2 N 2.51